## CsMg14Al (PBE)

Data for a relaxed CsMg14Al crystal.

Lattice parameters (Å, degrees): 6.5905 6.5905 10.6861 90.00 90.00 120.00
Atoms (fractional coordinates):
Cs 0.0000 0.0000 0.0000
Mg 0.0101 0.5050 0.0000
Mg 0.1705 0.3410 0.2748
Mg 0.1705 0.3410 0.7252
Mg 0.1705 0.8295 0.2748
Mg 0.1705 0.8295 0.7252
Mg 0.4950 0.5050 0.0000
Mg 0.4950 0.9899 0.0000
Mg 0.5068 0.0135 0.5000
Mg 0.5068 0.4932 0.5000
Mg 0.6590 0.8295 0.2748
Mg 0.6590 0.8295 0.7252
Mg 0.6667 0.3333 0.2442
Mg 0.6667 0.3333 0.7558
Mg 0.9865 0.4932 0.5000
Al 0.0000 0.0000 0.5000

Summary:
energy = -1.4969 eV/atom
formation energy from the elements = 0.186 eV per atom
DOS(E_F) = 11.586 states/eV/cell
total magnetization = 0.00 μB/f.u.

***

## CsNaMgAl2 (PBE)

Data for a relaxed CsNaMgAl2 crystal.

Lattice parameters (Å, degrees): 5.4813 5.4813 6.0548 90.00 90.00 90.00
Atoms (fractional coordinates):
Cs 0.0000 0.0000 0.0000
Na 0.5000 0.5000 0.0000
Mg 0.5000 0.5000 0.5000
Al 0.0000 0.5000 0.5000
Al 0.5000 0.0000 0.5000

Summary:
energy = -1.8112 eV/atom
formation energy from the elements = 0.439 eV per atom
DOS(E_F) = 3.386 states/eV/cell
total magnetization = 0.00 μB/f.u.

***

## CsMg6AlO8 (PBE)

Data for a relaxed CsMg6AlO8 crystal.

Lattice parameters (Å, degrees): 4.6512 4.6512 8.8880 90.00 90.00 90.00
Atoms (fractional coordinates):
Cs 0.0000 0.0000 0.0000
Mg 0.0000 0.0000 0.5000
Mg 0.0000 0.5000 0.2586
Mg 0.0000 0.5000 0.7414
Mg 0.5000 0.0000 0.2586
Mg 0.5000 0.0000 0.7414
Mg 0.5000 0.5000 0.5000
Al 0.5000 0.5000 0.0000
O 0.0000 0.0000 0.2878
O 0.0000 0.0000 0.7122
O 0.0000 0.5000 0.0000
O 0.0000 0.5000 0.5000
O 0.5000 0.0000 0.0000
O 0.5000 0.0000 0.5000
O 0.5000 0.5000 0.2190
O 0.5000 0.5000 0.7810

Summary:
energy = -5.2685 eV/atom
ΔE_f (raw) = -1.90 eV per atom
DOS(E_F) = 1.542 states/eV/cell
total magnetization = 0.43 μB/f.u.

***

## CsMg4Al9Si9O36 (PBE)

Data for a relaxed CsMg4Al9Si9O36 crystal.

Lattice parameters (Å, degrees): 9.5196 9.8400 9.8727 60.42 89.95 89.92
Atoms (fractional coordinates):
Cs 0.0000 0.0000 0.0000
Mg 0.4757 0.3370 0.3044
Mg 0.4762 0.6681 0.6507
Mg 0.9782 0.6682 0.6510
Mg 0.9793 0.3374 0.3038
Al 0.2274 0.6344 0.0884
Al 0.2282 0.1167 0.2446
Al 0.4769 0.0022 0.4805
Al 0.4769 0.4990 0.9840
Al 0.4769 0.5023 0.4801
Al 0.7270 0.2593 0.0900
Al 0.9775 0.4988 0.9839
Al 0.9781 0.0024 0.4786
Al 0.9782 0.5026 0.4796
Si 0.2262 0.7354 0.3630
Si 0.2274 0.2727 0.6007
Si 0.2270 0.3794 0.8682
Si 0.2268 0.8993 0.7128
Si 0.7274 0.1023 0.6148
Si 0.7273 0.6227 0.2507
Si 0.7270 0.7332 0.8791
Si 0.7277 0.3734 0.7134
Si 0.7279 0.8861 0.3618
O 0.0776 0.1451 0.3299
O 0.0790 0.5195 0.1180
O 0.0851 0.3484 0.4955
O 0.0853 0.4892 0.8384
O 0.0865 0.6502 0.4760
O 0.0862 0.8669 0.6341
O 0.2190 0.7021 0.2202
O 0.2214 0.7947 0.8981
O 0.2207 0.9190 0.3002
O 0.2220 0.2311 0.0408
O 0.2244 0.3137 0.7430
O 0.2248 0.0847 0.6696
O 0.3686 0.4882 0.8396
O 0.3689 0.6530 0.4713
O 0.3688 0.8662 0.6361
O 0.3696 0.3487 0.4961
O 0.3773 0.1441 0.3312
O 0.3766 0.5208 0.1187
O 0.5796 0.3462 0.1185
O 0.5864 0.4829 0.6340
O 0.5861 0.6573 0.8460
O 0.5869 0.1298 0.5103
O 0.5866 0.5163 0.3282
O 0.5865 0.8585 0.4705
O 0.7295 0.6985 0.0609
O 0.7301 0.2302 0.6733
O 0.7301 0.7606 0.2973
O 0.7297 0.9239 0.7670
O 0.7334 0.2981 0.8973
O 0.7342 0.0576 0.2146
O 0.8672 0.4848 0.6315
O 0.8677 0.1295 0.5096
O 0.8683 0.6574 0.8459
O 0.8685 0.8568 0.4723
O 0.8690 0.5167 0.3272
O 0.8739 0.3473 0.1186

Summary:
energy = -7.4267 eV/atom
ΔE_f (raw) = -2.88 eV per atom
DOS(E_F) = 0.000 states/eV/cell
total magnetization = 0.00 μB/f.u.

***

## CsMg2AlRe (PBE)

Data for a relaxed CsMg2AlRe crystal.

Lattice parameters (Å, degrees): 5.2788 5.2788 5.6022 90.00 90.00 90.00
Atoms (fractional coordinates):
Cs 0.0000 0.0000 0.0000
Mg 0.0000 0.5000 0.5000
Mg 0.5000 0.0000 0.5000
Al 0.5000 0.5000 0.0000
Re 0.0000 0.0000 0.5000

Summary:
energy = -2.6906 eV/atom
formation energy from the elements = 1.356 eV per atom
DOS(E_F) = 5.471 states/eV/cell
total magnetization = 0.00 μB/f.u.

***

## Cs2MgAlSi2 (PBE)

Data for a relaxed Cs2MgAlSi2 crystal.

Lattice parameters (Å, degrees): 10.6665 10.6665 10.6665 144.81 50.37 145.14
Atoms (fractional coordinates):
Cs 0.1627 0.2441 0.4068
Cs 0.3373 0.7441 0.0814
Cs 0.6627 0.2559 0.9186
Cs 0.8373 0.7559 0.5932
Mg 0.2500 0.2500 0.0000
Mg 0.7500 0.7500 0.0000
Al 0.2500 0.7500 0.5000
Al 0.7500 0.2500 0.5000
Si 0.0731 0.7268 0.7999
Si 0.4269 0.2268 0.6537
Si 0.5731 0.7732 0.3463
Si 0.9269 0.2732 0.2001

Summary:
energy = -3.0095 eV/atom
ΔE_f (raw) = -0.03 eV per atom
DOS(E_F) = 5.454 states/eV/cell
total magnetization = 0.00 μB/f.u.

***

## Cs2MgAlSn2 (PBE)

Data for a relaxed Cs2MgAlSn2 crystal.

Lattice parameters (Å, degrees): 10.5104 10.5104 10.5104 141.24 55.82 141.44
Atoms (fractional coordinates):
Cs 0.1704 0.2430 0.4134
Cs 0.3296 0.7430 0.0726
Cs 0.6704 0.2570 0.9274
Cs 0.8296 0.7570 0.5866
Mg 0.2500 0.2500 0.0000
Mg 0.7500 0.7500 0.0000
Al 0.2500 0.7500 0.5000
Al 0.7500 0.2500 0.5000
Sn 0.0849 0.7311 0.8159
Sn 0.4151 0.2311 0.6462
Sn 0.5849 0.7689 0.3538
Sn 0.9151 0.2689 0.1840

Summary:
energy = -2.6897 eV/atom
formation energy from the elements = -0.181 eV per atom
DOS(E_F) = 6.607 states/eV/cell
total magnetization = 0.00 μB/f.u.

***

## CsMnAl3 (PBE)

Data for a relaxed CsMnAl3 crystal.

Lattice parameters (Å, degrees): 5.8500 5.8500 5.8500 90.00 90.00 90.00
Atoms (fractional coordinates):
Cs 0.0000 0.0000 0.0000
Mn 0.5000 0.5000 0.5000
Al 0.0000 0.0000 0.5000
Al 0.0000 0.5000 0.0000
Al 0.5000 0.0000 0.0000

Summary:
energy = -2.1758 eV/atom
formation energy from the elements = 2.074 eV per atom
DOS(E_F) = 6.965 states/eV/cell
total magnetization = 4.24 μB/f.u.

***

## CsMn3Al (PBE)

Data for a relaxed CsMn3Al crystal.

Lattice parameters (Å, degrees): 5.0264 5.0264 5.0264 90.00 90.00 90.00
Atoms (fractional coordinates):
Cs 0.0000 0.0000 0.0000
Mn 0.0000 0.0000 0.5000
Mn 0.0000 0.5000 0.0000
Mn 0.5000 0.0000 0.0000
Al 0.5000 0.5000 0.5000

Summary:
energy = -4.0856 eV/atom
formation energy from the elements = 2.335 eV per atom
DOS(E_F) = 5.537 states/eV/cell
total magnetization = 10.53 μB/f.u.

***

## Cs2MnAl (PBE)

Data for a relaxed Cs2MnAl crystal.

Lattice parameters (Å, degrees): 5.8726 5.8726 5.8726 60.00 60.00 60.00
Atoms (fractional coordinates):
Cs 0.2500 0.2500 0.2500
Cs 0.7500 0.7500 0.7500
Mn 0.0000 0.0000 0.0000
Al 0.5000 0.5000 0.5000

Summary:
energy = -2.6049 eV/atom
formation energy from the elements = 1.050 eV per atom
DOS(E_F) = 3.928 states/eV/cell
total magnetization = 3.03 μB/f.u.

***

## CsMnAl3 (PBE)

Data for a relaxed CsMnAl3 crystal.

Lattice parameters (Å, degrees): 4.9070 4.9070 4.9070 90.00 90.00 90.00
Atoms (fractional coordinates):
Cs 0.0000 0.0000 0.0000
Mn 0.5000 0.5000 0.5000
Al 0.0000 0.5000 0.5000
Al 0.5000 0.0000 0.5000
Al 0.5000 0.5000 0.0000

Summary:
energy = -3.9823 eV/atom
formation energy from the elements = 0.268 eV per atom
DOS(E_F) = 1.655 states/eV/cell
total magnetization = 0.84 μB/f.u.

***

## CsMn3Al (PBE)

Data for a relaxed CsMn3Al crystal.

Lattice parameters (Å, degrees): 5.1370 5.1370 5.1370 90.00 90.00 90.00
Atoms (fractional coordinates):
Cs 0.0000 0.0000 0.0000
Mn 0.0000 0.5000 0.5000
Mn 0.5000 0.0000 0.5000
Mn 0.5000 0.5000 0.0000
Al 0.5000 0.5000 0.5000

Summary:
energy = -5.3653 eV/atom
formation energy from the elements = 1.056 eV per atom
DOS(E_F) = 6.289 states/eV/cell
total magnetization = 12.87 μB/f.u.

***

total magnetization of number 7 (Cs2MgAlSn2)? 0.00 μB/f.u.

***

What is the energy in the sixth record? -3.0095 eV/atom

***

Which value of DOS(E_F) does entry 8 give? 6.965 states/eV/cell

***

What is the energy in the twelfth record? -5.3653 eV/atom